The following is a DFT calculation (PBE) of a geometry-optimized Be3CoC structure.

Cell: 3.484 3.484 3.484 Å, 90.00 90.00 90.00°
Atoms (fractional coordinates):
Be  0.000  0.000  0.500
Be  0.000  0.500  0.000
Be  0.500  0.000  0.000
Co  0.500  0.500  0.500
C  0.000  0.000  0.000

The space group is Pm-3m, No. 221. For the total magnetization, the calculation gives 0.16 μB per atom. The value obtained for the formation energy is 357 meV/atom.

The following is a DFT calculation (PBE) of a geometry-optimized Ru6Pb7 structure.

Cell: 8.563 8.563 8.563 Å, 48.71 48.71 48.71°
Atoms (fractional coordinates):
Ru  0.051  0.051  0.051
Ru  0.159  0.159  0.159
Ru  0.348  0.348  0.348
Ru  0.652  0.652  0.652
Ru  0.841  0.841  0.841
Ru  0.949  0.949  0.949
Pb  0.045  0.595  0.595
Pb  0.405  0.405  0.955
Pb  0.405  0.955  0.405
Pb  0.500  0.500  0.500
Pb  0.595  0.045  0.595
Pb  0.595  0.595  0.045
Pb  0.955  0.405  0.405

The space group is R-3m, No. 166. For the total magnetization, the calculation gives 0.23 μB per atom. The value obtained for the formation energy is 1140 meV/atom.

The following is a DFT calculation (PBE) of a geometry-optimized AgN2F2 structure.

Cell: 9.062 9.062 9.062 Å, 163.42 163.42 23.53°
Atoms (fractional coordinates):
Ag  0.000  0.000  0.000
N  0.250  0.750  0.500
N  0.750  0.250  0.500
F  0.417  0.417  0.000
F  0.583  0.583  0.000

The uncorrected formation energy comes out at 24.09 kcal/mol of atoms. The space group is I4/mmm, No. 139. For the total magnetization, the calculation gives 0.18 μB per atom.

The following is a DFT calculation (PBE) of a geometry-optimized MoPPb structure.

Cell: 3.272 3.272 6.392 Å, 90.00 90.00 120.00°
Atoms (fractional coordinates):
Mo  0.000  0.000  0.000
P  0.667  0.333  0.231
Pb  0.333  0.667  0.629

The space group is P3m1, No. 156. For the total magnetization, the calculation gives 0.00 μB per atom. The value obtained for the formation energy is 88 meV/atom.

The following is a DFT calculation (PBE) of a geometry-optimized LaTb2YTm5 structure.

Cell: 9.689 9.689 9.689 Å, 125.65 125.65 80.47°
Atoms (fractional coordinates):
La  0.250  0.250  0.000
La  0.750  0.750  0.000
Tb  0.114  0.614  0.727
Tb  0.386  0.114  0.500
Tb  0.614  0.886  0.500
Tb  0.886  0.386  0.273
Y  0.250  0.750  0.500
Y  0.750  0.250  0.500
Tm  0.000  0.000  0.000
Tm  0.075  0.162  0.500
Tm  0.162  0.662  0.088
Tm  0.338  0.425  0.500
Tm  0.425  0.925  0.088
Tm  0.500  0.500  0.000
Tm  0.575  0.075  0.912
Tm  0.662  0.575  0.500
Tm  0.838  0.338  0.912
Tm  0.925  0.838  0.500

The space group is I4/mcm, No. 140. For the total magnetization, the calculation gives 0.00 μB per atom. The value obtained for the formation energy is 277 meV/atom.

The following is a DFT calculation (PBE) of a geometry-optimized Sm5ThAl3 structure.

Cell: 9.266 9.266 6.752 Å, 90.00 90.00 120.00°
Atoms (fractional coordinates):
Sm  0.000  0.334  0.250
Sm  0.000  0.666  0.750
Sm  0.333  0.667  0.000
Sm  0.333  0.667  0.500
Sm  0.334  0.000  0.250
Sm  0.334  0.334  0.750
Sm  0.666  0.000  0.750
Sm  0.666  0.666  0.250
Sm  0.667  0.333  0.000
Sm  0.667  0.333  0.500
Th  0.000  0.000  0.000
Th  0.000  0.000  0.500
Al  0.000  0.331  0.750
Al  0.000  0.669  0.250
Al  0.331  0.000  0.750
Al  0.331  0.331  0.250
Al  0.669  0.000  0.250
Al  0.669  0.669  0.750

The space group is P6_3/mcm, No. 193. For the total magnetization, the calculation gives 0.00 μB per atom. The value obtained for the formation energy is -214 meV/atom.

The following is a DFT calculation (PBE) of a geometry-optimized Sr2PdSe structure.

Cell: 7.125 7.125 7.125 Å, 112.96 112.96 102.70°
Atoms (fractional coordinates):
Sr  0.124  0.625  0.999
Sr  0.375  0.374  0.499
Sr  0.626  0.125  0.001
Sr  0.875  0.876  0.501
Pd  0.000  0.000  0.000
Pd  0.750  0.250  0.500
Se  0.250  0.750  0.500
Se  0.500  0.500  0.000

The uncorrected formation energy comes out at -22.36 kcal/mol of atoms. The space group is I-42d, No. 122. For the total magnetization, the calculation gives 0.00 μB per atom.

The following is a DFT calculation (PBE) of a geometry-optimized V3Ga2Co3 structure.

Cell: 7.123 7.123 7.123 Å, 33.55 33.55 33.55°
Atoms (fractional coordinates):
V  0.000  0.000  0.000
V  0.124  0.124  0.124
V  0.622  0.622  0.622
Ga  0.377  0.377  0.377
Ga  0.872  0.872  0.872
Co  0.250  0.250  0.250
Co  0.499  0.499  0.499
Co  0.748  0.748  0.748

The space group is R3m, No. 160. For the total magnetization, the calculation gives 0.00 μB per atom. The value obtained for the formation energy is -223 meV/atom.

The following is a DFT calculation (PBE) of a geometry-optimized Cs3PtF8 structure.

Cell: 8.873 8.873 7.775 Å, 90.00 90.00 120.00°
Atoms (fractional coordinates):
Cs  0.158  0.316  0.000
Cs  0.158  0.842  0.000
Cs  0.316  0.158  0.500
Cs  0.684  0.842  0.000
Cs  0.842  0.158  0.500
Cs  0.842  0.684  0.500
Pt  0.333  0.667  0.466
Pt  0.667  0.333  0.966
F  0.000  0.000  0.256
F  0.000  0.000  0.756
F  0.124  0.562  0.324
F  0.227  0.454  0.605
F  0.227  0.773  0.605
F  0.333  0.667  0.957
F  0.438  0.562  0.324
F  0.438  0.876  0.324
F  0.454  0.227  0.105
F  0.546  0.773  0.605
F  0.562  0.124  0.824
F  0.562  0.438  0.824
F  0.667  0.333  0.457
F  0.773  0.227  0.105
F  0.773  0.546  0.105
F  0.876  0.438  0.824

The uncorrected formation energy comes out at -47.97 kcal/mol of atoms. The space group is P6_3mc, No. 186. For the total magnetization, the calculation gives 0.10 μB per atom.

The following is a DFT calculation (PBE) of a geometry-optimized SrNpGa2O8 structure.

Cell: 6.028 6.028 6.028 Å, 108.25 108.25 111.94°
Atoms (fractional coordinates):
Sr  0.000  0.000  0.000
Np  0.750  0.250  0.500
Ga  0.250  0.750  0.500
Ga  0.500  0.500  0.000
O  0.040  0.375  0.335
O  0.040  0.704  0.665
O  0.116  0.323  0.793
O  0.296  0.960  0.335
O  0.530  0.323  0.207
O  0.625  0.960  0.665
O  0.677  0.470  0.793
O  0.677  0.884  0.207

The uncorrected formation energy comes out at -44.41 kcal/mol of atoms. The space group is I-4m2, No. 119. For the total magnetization, the calculation gives 0.09 μB per atom.

The following is a DFT calculation (PBE) of a geometry-optimized CaMnCl2 structure.

Cell: 3.429 3.429 8.675 Å, 90.00 90.00 90.00°
Atoms (fractional coordinates):
Ca  0.000  0.000  0.000
Mn  0.500  0.500  0.704
Cl  0.000  0.000  0.564
Cl  0.500  0.500  0.164

The uncorrected formation energy comes out at -21.80 kcal/mol of atoms. The space group is P4mm, No. 99. For the total magnetization, the calculation gives 1.13 μB per atom.

The following is a DFT calculation (PBE) of a geometry-optimized ZrFeTc structure.

Cell: 4.331 4.331 4.331 Å, 60.00 60.00 60.00°
Atoms (fractional coordinates):
Zr  0.000  0.000  0.000
Fe  0.250  0.250  0.250
Tc  0.750  0.750  0.750

The space group is F-43m, No. 216. For the total magnetization, the calculation gives 1.09 μB per atom. The value obtained for the formation energy is 953 meV/atom.

The following is a DFT calculation (PBE) of a geometry-optimized Pr4SmAl2 structure.

Cell: 8.829 8.829 8.829 Å, 35.93 35.93 35.93°
Atoms (fractional coordinates):
Pr  0.090  0.090  0.090
Pr  0.349  0.349  0.349
Pr  0.651  0.651  0.651
Pr  0.910  0.910  0.910
Sm  0.500  0.500  0.500
Al  0.221  0.221  0.221
Al  0.779  0.779  0.779

The space group is R-3m, No. 166. For the total magnetization, the calculation gives 0.00 μB per atom. The value obtained for the formation energy is -162 meV/atom.